A plane-wave DFT calculation with PBE-GGA was carried out for a geometry-optimized AcTm2N structure.

a b c (Å): 3.254 3.254 8.829
angles (deg): 90.00 90.00 90.00
Positions (direct):
Ac (0.000, 0.000, 0.000)
Tm (0.500, 0.500, 0.341)
Tm (0.500, 0.500, 0.659)
N (0.000, 0.000, 0.500)

## Properties
The value obtained for the energy relative to the elements, uncorrected is -4.0 kJ per mole of atoms. The space group is P4/mmm. The energy above the most stable polymorph in this dataset is 2.50 eV per formula unit. The density of states at the Fermi level comes out at 4.434 states/eV/cell. As for the mass density: 10.28 g/cm³. The total magnetization is 0.0 μB per formula unit.